1.
## In (PBEsol)

Data for a relaxed structure of In.

Results
Energy above the most stable polymorph in this dataset   0.015 eV per atom
DOS(E_F)   0.5 states/eV per cell
ΔE_f   0.015 eV per atom
SG   No. 229

abc: 3.211 3.211 3.211
angles: 109.47 109.47 109.47
Sites, in units of the cell vectors:
In  0.000  0.000  0.000

2.
## CaNi2Hg (PBEsol)

Data for a relaxed structure of CaNi2Hg.

Results
Energy above the most stable polymorph in this dataset   0.045 eV per atom
DOS(E_F)   1.3 states/eV per cell
ΔE_f   0.008 eV per atom
SG   No. 139

abc: 4.271 4.639 4.271
angles: 62.59 90.00 117.41
Sites, in units of the cell vectors:
Ca  0.500  0.000  0.500
Hg  0.000  0.000  0.000
Ni  0.750  0.500  0.750
Ni  0.250  0.500  0.250

3.
## MnNbTe2I (PBEsol)

Data for a relaxed structure of MnNbTe2I.

Results
E_form (uncorrected)   824 meV per atom
DOS(E_F)   4.1 states/eV per cell
SG   No. 123

abc: 5.107 5.107 5.212
angles: 90.00 90.00 90.00
Sites, in units of the cell vectors:
Mn  0.000  0.000  0.000
Te  0.500  0.000  0.000
Te  0.000  0.500  0.000
Nb  0.500  0.500  0.500
I  0.000  0.000  0.500

4.
## LaSc8 (PBEsol)

Data for a relaxed structure of LaSc8.

Results
DOS(E_F)   15.5 states/eV per cell
ΔE_f   0.063 eV per atom
SG   No. 139

abc: 4.612 7.289 7.289
angles: 84.26 71.56 71.56
Sites, in units of the cell vectors:
Sc  0.000  0.664  0.336
Sc  0.336  0.664  0.664
La  0.000  0.000  0.000
Sc  0.329  0.341  0.000
Sc  0.671  0.659  0.000
Sc  0.329  0.000  0.341
Sc  0.664  0.336  0.336
Sc  0.671  0.000  0.659
Sc  0.000  0.336  0.664

5.
## Zn2TeW (PBEsol)

Data for a relaxed structure of Zn2TeW.

Results
E_form (uncorrected)   588 meV per atom
DOS(E_F)   2.7 states/eV per cell
SG   No. 71

abc: 3.457 4.263 5.299
angles: 113.72 109.04 90.00
Sites, in units of the cell vectors:
Te  0.500  0.000  0.000
Zn  0.745  0.745  0.489
W  0.000  0.500  0.000
Zn  0.255  0.255  0.511

6.
## BeCuPt2 (PBEsol)

Data for a relaxed structure of BeCuPt2.

Results
DOS(E_F)   1.0 states/eV per cell
ΔE_f   -0.400 eV per atom
SG   No. 123

abc: 2.886 4.133 4.133
angles: 90.00 90.00 90.00
Sites, in units of the cell vectors:
Pt  0.000  0.000  0.500
Be  0.500  0.500  0.500
Cu  0.500  0.000  0.000
Pt  0.000  0.500  0.000

7.
## YScZn2 (PBEsol)

Data for a relaxed structure of YScZn2.

Results
DOS(E_F)   4.2 states/eV per cell
ΔE_f   -0.360 eV per atom
SG   No. 225

abc: 4.827 4.827 4.827
angles: 60.00 60.00 60.00
Sites, in units of the cell vectors:
Zn  0.750  0.750  0.750
Sc  0.000  0.000  0.000
Zn  0.250  0.250  0.250
Y  0.500  0.500  0.500

8.
## La4Sb2Pb (PBEsol)

Data for a relaxed structure of La4Sb2Pb.

Results
E_form (uncorrected)   -974 meV per atom
DOS(E_F)   14.9 states/eV per cell
SG   No. 122

abc: 8.330 8.330 8.330
angles: 109.56 109.56 109.29
Sites, in units of the cell vectors:
La  0.870  0.623  0.105
La  0.873  0.620  0.605
La  0.015  0.268  0.395
Sb  0.625  0.249  0.124
Pb  0.000  0.000  0.000
La  0.518  0.765  0.895
Sb  0.125  0.501  0.876
Sb  0.751  0.875  0.376
La  0.377  0.482  0.247
La  0.380  0.985  0.253
Pb  0.250  0.750  0.500
La  0.235  0.130  0.753
Sb  0.499  0.375  0.624
La  0.732  0.127  0.747

9.
## Er2Ge5 (PBEsol)

Data for a relaxed structure of Er2Ge5.

Results
DOS(E_F)   5.0 states/eV per cell
ΔE_f   -0.586 eV per atom
SG   No. 59

abc: 3.868 3.975 17.878
angles: 90.00 90.00 90.00
Sites, in units of the cell vectors:
Er  0.500  0.500  0.627
Ge  0.500  0.000  0.502
Ge  0.500  0.500  0.070
Ge  0.500  0.500  0.333
Ge  0.000  0.000  0.667
Ge  0.500  0.000  0.761
Ge  0.000  0.500  0.498
Ge  0.000  0.000  0.930
Ge  0.500  0.500  0.931
Ge  0.000  0.500  0.239
Ge  0.000  0.000  0.069
Er  0.500  0.000  0.192
Er  0.000  0.000  0.373
Er  0.000  0.500  0.808

10.
## MgTeCl2 (PBEsol)

Data for a relaxed structure of MgTeCl2.

Results
Energy above the most stable polymorph in this dataset   0.337 eV per atom
E_form (uncorrected)   -371 meV per atom
DOS(E_F)   1.8 states/eV per cell
SG   No. 166

abc: 3.494 3.494 11.333
angles: 81.13 81.13 60.00
Sites, in units of the cell vectors:
Te  0.500  0.500  0.500
Mg  0.000  0.000  0.000
Cl  0.936  0.936  0.193
Cl  0.064  0.064  0.807

11.
## Be2CoRu (PBEsol)

Data for a relaxed structure of Be2CoRu.

Results
DOS(E_F)   3.0 states/eV per cell
ΔE_f   -0.082 eV per atom
SG   No. 119

abc: 3.192 3.192 4.477
angles: 110.89 110.89 90.00
Sites, in units of the cell vectors:
Be  0.750  0.250  0.500
Co  0.500  0.500  0.000
Ru  0.250  0.750  0.500
Be  0.000  0.000  0.000

12.
## NdSi2Ag (PBEsol)

Data for a relaxed structure of NdSi2Ag.

Results
E_form (uncorrected)   -593 meV per atom
DOS(E_F)   1.8 states/eV per cell
SG   No. 63

abc: 4.173 4.184 8.949
angles: 90.00 103.48 90.00
Sites, in units of the cell vectors:
Nd  0.597  0.750  0.194
Si  0.968  0.750  0.935
Si  0.165  0.250  0.331
Ag  0.251  0.750  0.503
Nd  0.403  0.250  0.806
Si  0.032  0.250  0.065
Ag  0.749  0.250  0.497
Si  0.835  0.750  0.669

13.
## Ga3TcSn (PBEsol)

Data for a relaxed structure of Ga3TcSn.

Results
DOS(E_F)   3.0 states/eV per cell
ΔE_f   0.271 eV per atom
SG   No. 221

abc: 4.789 4.789 4.789
angles: 90.00 90.00 90.00
Sites, in units of the cell vectors:
Tc  0.000  0.000  0.000
Ga  0.500  0.000  0.000
Ga  0.000  0.500  0.000
Sn  0.500  0.500  0.500
Ga  0.000  0.000  0.500

14.
## PPtRh2 (PBEsol)

Data for a relaxed structure of PPtRh2.

Results
DOS(E_F)   4.1 states/eV per cell
ΔE_f   -0.265 eV per atom
SG   No. 10

abc: 3.108 3.624 5.155
angles: 90.00 106.28 90.00
Sites, in units of the cell vectors:
Rh  0.868  0.000  0.223
Pt  0.500  0.500  0.500
P  0.500  0.500  0.000
Rh  0.132  0.000  0.777

15.
## ZrAlTc (PBEsol)

Data for a relaxed structure of ZrAlTc.

Results
Energy above the most stable polymorph in this dataset   0.000 eV per atom
DOS(E_F)   0.9 states/eV per cell
ΔE_f   -0.390 eV per atom
SG   No. 107

abc: 3.313 3.313 5.153
angles: 108.75 108.75 90.00
Sites, in units of the cell vectors:
Al  0.017  0.017  0.034
Tc  0.660  0.660  0.321
Zr  0.323  0.323  0.645

16.
## Li2NiO2 (PBEsol)

Data for a relaxed structure of Li2NiO2.

Results
Energy above the most stable polymorph in this dataset   0.000 eV per atom
E_form (uncorrected)   -1508 meV per atom
SG   No. 71

abc: 2.763 3.787 4.956
angles: 112.46 106.18 90.00
Sites, in units of the cell vectors:
O  0.643  0.143  0.286
Li  0.693  0.693  0.386
Li  0.307  0.307  0.614
Ni  0.000  0.000  0.000
O  0.357  0.857  0.714

17.
## Ba2LaNb5O15 (PBEsol)

Data for a relaxed structure of Ba2LaNb5O15.

Results
E_form (uncorrected)   -2821 meV per atom
DOS(E_F)   8.3 states/eV per cell
SG   No. 127

abc: 4.008 12.609 12.609
angles: 90.00 90.00 90.00
Sites, in units of the cell vectors:
Nb  0.500  0.080  0.789
O  0.500  0.274  0.226
O  0.500  0.774  0.274
Nb  0.500  0.580  0.711
O  0.000  0.421  0.301
O  0.500  0.659  0.008
Ba  0.000  0.335  0.835
Nb  0.500  0.211  0.080
O  0.500  0.159  0.492
La  0.000  0.500  0.500
Nb  0.500  0.500  0.000
O  0.000  0.579  0.699
Nb  0.500  0.289  0.580
Ba  0.000  0.165  0.335
O  0.000  0.500  0.000
O  0.000  0.699  0.421
O  0.500  0.992  0.659
O  0.500  0.869  0.061
O  0.000  0.199  0.079
O  0.000  0.921  0.199
Nb  0.500  0.000  0.500
O  0.500  0.061  0.131
Nb  0.500  0.789  0.920
Ba  0.000  0.665  0.165
La  0.000  0.000  0.000
O  0.000  0.079  0.801
O  0.500  0.492  0.841
O  0.500  0.939  0.869
O  0.500  0.008  0.341
Nb  0.500  0.420  0.289
Ba  0.000  0.835  0.665
O  0.500  0.631  0.561
O  0.500  0.439  0.631
Nb  0.500  0.920  0.211
O  0.500  0.131  0.939
Nb  0.500  0.711  0.420
O  0.000  0.000  0.500
O  0.500  0.341  0.992
O  0.000  0.801  0.921
O  0.500  0.561  0.369
O  0.000  0.301  0.579
O  0.500  0.508  0.159
O  0.500  0.726  0.774
O  0.500  0.841  0.508
O  0.500  0.369  0.439
O  0.500  0.226  0.726

18.
## TaTlMo2 (PBEsol)

Data for a relaxed structure of TaTlMo2.

Results
Energy above the most stable polymorph in this dataset   0.123 eV per atom
DOS(E_F)   3.3 states/eV per cell
ΔE_f   0.452 eV per atom
SG   No. 160

abc: 3.077 3.077 8.987
angles: 80.14 80.14 60.00
Sites, in units of the cell vectors:
Mo  0.747  0.747  0.759
Mo  0.010  0.010  0.971
Tl  0.252  0.252  0.243
Ta  0.491  0.491  0.527

19.
## TlIn3 (PBEsol)

Data for a relaxed structure of TlIn3.

Results
DOS(E_F)   1.6 states/eV per cell
ΔE_f   0.011 eV per atom
SG   No. 12

abc: 3.231 5.681 5.969
angles: 97.82 90.00 106.52
Sites, in units of the cell vectors:
In  0.500  0.000  0.500
Tl  0.000  0.000  0.000
In  0.248  0.496  0.746
In  0.752  0.504  0.254

20.
## Fe3PtAu (PBEsol)

Data for a relaxed structure of Fe3PtAu.

Results
DOS(E_F)   6.5 states/eV per cell
ΔE_f   1.276 eV per atom
SG   No. 221

abc: 4.580 4.580 4.580
angles: 90.00 90.00 90.00
Sites, in units of the cell vectors:
Fe  0.000  0.500  0.000
Pt  0.000  0.000  0.000
Au  0.500  0.500  0.500
Fe  0.500  0.000  0.000
Fe  0.000  0.000  0.500